Here is crystalline MoAs2CBr at its relaxed geometry from Alexandria via LeMat-Bulk. Energies are from GGA-PBE.

Properties
V = 16.9 A^3/atom
Total magnetic moment = 2.19 μB/cell
E above lowest polymorph = 0 meV per atom
Formation energy from raw total energies = 1414.5 meV per atom

```
data_MoAs2CBr
_chemical_formula_sum 'Mo1 As2 C1 Br1'
_symmetry_space_group_name_H-M 'P 4/m m m'
_symmetry_Int_Tables_number 123
_symmetry_space_group_name_Hall '-P 4 2'
_cell_length_a 4.2939
_cell_length_b 4.2939
_cell_length_c 4.5711
_cell_angle_alpha 90.00
_cell_angle_beta 90.00
_cell_angle_gamma 90.00
loop_
_atom_site_label
_atom_site_fract_x
_atom_site_fract_y
_atom_site_fract_z
_atom_site_occupancy
Mo1 0.0000 0.0000 0.0000 1
As1 0.0000 0.5000 0.5000 1
C1 0.5000 0.5000 0.5000 1
Br1 0.5000 0.5000 0.0000 1
```

---

Here is crystalline NaPm2PuS4 at its relaxed geometry from Alexandria via LeMat-Bulk. Energies are from GGA-PBE.

Properties
V = 23.1 A^3/atom
Total magnetic moment = 5.73 μB/cell
Formation energy from raw total energies = -1837.1 meV per atom

```
data_NaPm2PuS4
_chemical_formula_sum 'Na1 Pm2 Pu1 S4'
_symmetry_space_group_name_H-M 'P 1 2/m 1'
_symmetry_Int_Tables_number 10
_symmetry_space_group_name_Hall '-P 2y'
_cell_length_a 6.9734
_cell_length_b 4.0254
_cell_length_c 6.9831
_cell_angle_alpha 90.00
_cell_angle_beta 109.60
_cell_angle_gamma 90.00
loop_
_atom_site_label
_atom_site_fract_x
_atom_site_fract_y
_atom_site_fract_z
_atom_site_occupancy
Na1 0.0000 0.0000 0.0000 1
Pm1 0.5000 0.0000 0.5000 1
Pm2 0.5000 0.5000 0.0000 1
Pu1 0.0000 0.5000 0.5000 1
S1 0.2459 0.0000 0.7458 1
S2 0.2522 0.5000 0.2532 1
```

---

Here is crystalline Ac2Sn3SbIr4 at its relaxed geometry from Alexandria via LeMat-Bulk. Energies are from GGA-PBE.

Properties
V = 23.0 A^3/atom
Total magnetic moment = 0.00 μB/cell
Formation energy from raw total energies = -605.1 meV per atom

```
data_Ac2Sn3SbIr4
_chemical_formula_sum 'Ac2 Sn3 Sb1 Ir4'
_symmetry_space_group_name_H-M 'P -4 m 2'
_symmetry_Int_Tables_number 115
_symmetry_space_group_name_Hall 'P -4 -2'
_cell_length_a 4.5931
_cell_length_b 4.5931
_cell_length_c 10.9052
_cell_angle_alpha 90.00
_cell_angle_beta 90.00
_cell_angle_gamma 90.00
loop_
_atom_site_label
_atom_site_fract_x
_atom_site_fract_y
_atom_site_fract_z
_atom_site_occupancy
Ac1 0.0000 0.5000 0.2490 1
Sn1 0.0000 0.5000 0.8710 1
Sn2 0.5000 0.5000 0.5000 1
Sb1 0.0000 0.0000 0.5000 1
Ir1 0.0000 0.0000 0.0000 1
Ir2 0.0000 0.5000 0.6275 1
Ir3 0.5000 0.5000 0.0000 1
```

---

Here is crystalline Pm8HoTl2 at its relaxed geometry from Alexandria via LeMat-Bulk. Energies are from GGA-PBE.

Properties
V = 32.5 A^3/atom
ΔE_f = -0.042 eV per atom
Total magnetic moment = 0.00 μB/cell

```
data_Pm8HoTl2
_chemical_formula_sum 'Pm16 Ho2 Tl4'
_symmetry_space_group_name_H-M 'C 1 2/m 1'
_symmetry_Int_Tables_number 12
_symmetry_space_group_name_Hall '-C 2y'
_cell_length_a 17.4118
_cell_length_b 6.7856
_cell_length_c 6.2124
_cell_angle_alpha 90.00
_cell_angle_beta 102.78
_cell_angle_gamma 90.00
loop_
_atom_site_label
_atom_site_fract_x
_atom_site_fract_y
_atom_site_fract_z
_atom_site_occupancy
Pm1 0.0093 0.0000 0.2479 1
Pm2 0.1254 0.5000 0.0865 1
Pm3 0.1745 0.2403 0.6284 1
Ho1 0.0000 0.5000 0.5000 1
Tl1 0.1770 0.0000 0.1055 1
```

---

Here is crystalline MnIn2 at its relaxed geometry from Alexandria via LeMat-Bulk. Energies are from GGA-PBE.

Properties
V = 21.3 A^3/atom
ΔE_f = 0.200 eV per atom
Total magnetic moment = 13.19 μB/cell

```
data_MnIn2
_chemical_formula_sum 'Mn4 In8'
_symmetry_space_group_name_H-M 'C m c m'
_symmetry_Int_Tables_number 63
_symmetry_space_group_name_Hall '-C 2c 2'
_cell_length_a 3.0856
_cell_length_b 17.8175
_cell_length_c 4.6537
_cell_angle_alpha 90.00
_cell_angle_beta 90.00
_cell_angle_gamma 90.00
loop_
_atom_site_label
_atom_site_fract_x
_atom_site_fract_y
_atom_site_fract_z
_atom_site_occupancy
Mn1 0.0000 0.0620 0.2500 1
In1 0.0000 0.2991 0.7500 1
In2 0.0000 0.4245 0.2500 1
```

---

Here is crystalline AlTcCl4 at its relaxed geometry from Alexandria via LeMat-Bulk. Energies are from GGA-PBE.

Properties
V = 24.3 A^3/atom
Total magnetic moment = 24.15 μB/cell
Formation energy from raw total energies = 931.4 meV per atom

```
data_AlTcCl4
_chemical_formula_sum 'Al4 Tc4 Cl16'
_symmetry_space_group_name_H-M 'F -4 3 m'
_symmetry_Int_Tables_number 216
_symmetry_space_group_name_Hall 'F -4 2 3'
_cell_length_a 8.3546
_cell_length_b 8.3546
_cell_length_c 8.3546
_cell_angle_alpha 90.00
_cell_angle_beta 90.00
_cell_angle_gamma 90.00
loop_
_atom_site_label
_atom_site_fract_x
_atom_site_fract_y
_atom_site_fract_z
_atom_site_occupancy
Al1 0.0000 0.0000 0.0000 1
Tc1 0.2500 0.2500 0.2500 1
Cl1 0.1245 0.1245 0.6245 1
```

---

Here is crystalline MgHgAs2Br at its relaxed geometry from Alexandria via LeMat-Bulk. Energies are from GGA-PBE.

Properties
V = 29.7 A^3/atom
Total magnetic moment = 1.01 μB/cell
E above lowest polymorph = 234 meV per atom
Formation energy from raw total energies = 557.2 meV per atom

```
data_MgHgAs2Br
_chemical_formula_sum 'Mg1 Hg1 As2 Br1'
_symmetry_space_group_name_H-M 'P 4/m m m'
_symmetry_Int_Tables_number 123
_symmetry_space_group_name_Hall '-P 4 2'
_cell_length_a 5.1887
_cell_length_b 5.1887
_cell_length_c 5.5092
_cell_angle_alpha 90.00
_cell_angle_beta 90.00
_cell_angle_gamma 90.00
loop_
_atom_site_label
_atom_site_fract_x
_atom_site_fract_y
_atom_site_fract_z
_atom_site_occupancy
Mg1 0.0000 0.0000 0.0000 1
Hg1 0.0000 0.0000 0.5000 1
As1 0.0000 0.5000 0.5000 1
Br1 0.5000 0.5000 0.0000 1
```

---

Here is crystalline KCaAl2Fe at its relaxed geometry from Alexandria via LeMat-Bulk. Energies are from GGA-PBE.

Properties
V = 32.0 A^3/atom
ΔE_f = 2.067 eV per atom
Total magnetic moment = 0.05 μB/cell

```
data_KCaAl2Fe
_chemical_formula_sum 'K1 Ca1 Al2 Fe1'
_symmetry_space_group_name_H-M 'P 4/m m m'
_symmetry_Int_Tables_number 123
_symmetry_space_group_name_Hall '-P 4 2'
_cell_length_a 5.3903
_cell_length_b 5.3903
_cell_length_c 5.5040
_cell_angle_alpha 90.00
_cell_angle_beta 90.00
_cell_angle_gamma 90.00
loop_
_atom_site_label
_atom_site_fract_x
_atom_site_fract_y
_atom_site_fract_z
_atom_site_occupancy
K1 0.0000 0.0000 0.0000 1
Ca1 0.0000 0.0000 0.5000 1
Al1 0.0000 0.5000 0.0000 1
Fe1 0.5000 0.5000 0.5000 1
```

---

Number 1: uncorrected energy -23.95 eV/cell. Number 2: uncorrected energy -56.36 eV/cell. Number 3: uncorrected energy -65.84 eV/cell. Number 4: uncorrected energy -95.56 eV/cell. Number 5: uncorrected energy -56.18 eV/cell. Number 6: uncorrected energy -63.63 eV/cell. Number 7: uncorrected energy -10.08 eV/cell. Number 8: uncorrected energy -8.71 eV/cell.